[1]
The following is a GGA-PBE calculation of La8InPt2 after structural relaxation, from the Alexandria database.

Unit cell a=5.6129 b=8.4377 c=8.4377 alpha=114.37 beta=97.32 gamma=97.32
With the nearest neighbours (Å) after each atom.
Sites, in units of the cell vectors:
La: 0.0599 0.0704 0.3102  2 Pt 3.09-3.19, 2 La 3.39-3.40
Pt: 0.0000 0.3105 0.6895  8 La 2.92-3.21
La: 0.5000 0.7473 0.2527  2 Pt 2.92
La: 0.0599 0.3102 0.0704  2 Pt 3.09-3.19, 2 La 3.39-3.40
La: 0.9401 0.9296 0.6898  2 Pt 3.09-3.19, 2 La 3.39-3.40
La: 0.9401 0.6898 0.9296  2 Pt 3.09-3.19, 2 La 3.39-3.40
La: 0.6971 0.3930 0.3930  2 Pt 3.21, 4 La 3.28-3.50, 1 In 3.50
In: 0.5000 0.0000 0.0000  12 La 3.50-3.75
La: 0.3029 0.6070 0.6070  2 Pt 3.21, 4 La 3.28-3.50, 1 In 3.50
La: 0.5000 0.2527 0.7473  2 Pt 2.92
Pt: 0.0000 0.6895 0.3105  8 La 2.92-3.21

[2]
The following is a GGA-PBE calculation of LaIn4Pt2 after structural relaxation, from the Alexandria database.

Values from the calculation:
- Energy above the most stable polymorph in this dataset: 0.000 eV/atom

Unit cell a=4.5906 b=7.3217 c=18.8007 alpha=90.00 beta=90.00 gamma=90.00
With the nearest neighbours (Å) after each atom.
Sites, in units of the cell vectors:
In: 0.7500 0.7578 0.8091  3 Pt 2.77-2.78, 2 In 2.99-3.04
In: 0.2500 0.5004 0.4290  4 Pt 2.79-2.99
Pt: 0.2500 0.5402 0.2813  7 In 2.77-2.82
La: 0.7500 0.5320 0.1410  9 In 3.26-3.57, 4 Pt 3.36-3.50
Pt: 0.7500 0.4598 0.7187  7 In 2.77-2.82
In: 0.7500 0.1665 0.8144  4 Pt 2.78-2.82, 1 In 2.99
Pt: 0.2500 0.7492 0.0413  7 In 2.78-2.99
Pt: 0.7500 0.2508 0.9587  7 In 2.78-2.99
In: 0.7500 0.0004 0.0710  4 Pt 2.79-2.99
La: 0.7500 0.9680 0.6410  9 In 3.26-3.57, 4 Pt 3.36-3.50
Pt: 0.2500 0.7508 0.5413  7 In 2.78-2.99
In: 0.2500 0.8335 0.1856  4 Pt 2.78-2.82, 1 In 2.99
In: 0.7500 0.6494 0.9653  3 Pt 2.80-2.92, 1 In 3.04
Pt: 0.2500 0.9598 0.7813  7 In 2.77-2.82
In: 0.7500 0.8506 0.4653  3 Pt 2.80-2.92, 1 In 3.04
In: 0.7500 0.4996 0.5710  4 Pt 2.79-2.99
In: 0.2500 0.3506 0.0347  3 Pt 2.80-2.92, 1 In 3.04
La: 0.2500 0.0320 0.3590  9 In 3.26-3.57, 4 Pt 3.36-3.50
In: 0.7500 0.7422 0.3091  3 Pt 2.77-2.78, 2 In 2.99-3.04
In: 0.2500 0.1494 0.5347  3 Pt 2.80-2.92, 1 In 3.04
In: 0.2500 0.2578 0.6909  3 Pt 2.77-2.78, 2 In 2.99-3.04
In: 0.2500 0.9996 0.9290  4 Pt 2.79-2.99
In: 0.7500 0.3335 0.3144  4 Pt 2.78-2.82, 1 In 2.99
Pt: 0.7500 0.2492 0.4587  7 In 2.78-2.99
In: 0.2500 0.2422 0.1909  3 Pt 2.77-2.78, 2 In 2.99-3.04
La: 0.2500 0.4680 0.8590  9 In 3.26-3.57, 4 Pt 3.36-3.50
Pt: 0.7500 0.0402 0.2187  7 In 2.77-2.82
In: 0.2500 0.6665 0.6856  4 Pt 2.78-2.82, 1 In 2.99

Size of the total moment, record by record: 0.0 0.0 μB/cell
DFT formation energy, record by record: -478 -676 meV per atom